1.
Entry from Alexandria: a geometry-optimized SiPt2W structure (PBE).

**Formation energy from raw total energies**: -0.284 eV/atom
**Magnetic moment**: 0.000 μB/atom

Cell lengths 4.905, 4.905, 4.959 Å; angles 71.94, 71.94, 32.64 degrees
Atoms (fractional coordinates):
Pt: 0.987 0.987 0.015
Pt: 0.780 0.780 0.694
Si: 0.511 0.511 0.571
W: 0.221 0.221 0.220

2.
Entry from Alexandria: a geometry-optimized AlSnC3 structure (PBE).

**Energy of formation**: 2.127 eV per atom
**Magnetic moment**: 0.000 μB/atom

Cell lengths 4.006, 4.006, 4.006 Å; angles 90.00, 90.00, 90.00 degrees
Atoms (fractional coordinates):
C: 0.000 0.500 0.000
C: 0.000 0.000 0.500
C: 0.500 0.000 0.000
Sn: 0.500 0.500 0.500
Al: 0.000 0.000 0.000

3.
Entry from Alexandria: a geometry-optimized NiGe2Au2 structure (PBE).

**Energy of formation**: 0.259 eV per atom
**Magnetic moment**: 0.000 μB/atom

Cell lengths 7.005, 7.005, 3.681 Å; angles 90.00, 90.00, 90.00 degrees
Atoms (fractional coordinates):
Ni: 0.000 0.000 0.000
Ni: 0.500 0.500 0.000
Ge: 0.167 0.667 0.500
Ge: 0.667 0.833 0.500
Ge: 0.833 0.333 0.500
Ge: 0.333 0.167 0.500
Au: 0.355 0.855 0.000
Au: 0.855 0.645 0.000
Au: 0.645 0.145 0.000
Au: 0.145 0.355 0.000

4.
Entry from Alexandria: a geometry-optimized Ho2Ga9Ni3 structure (PBE).

**Energy of formation**: -0.495 eV per atom
**Magnetic moment**: 0.000 μB/atom

Cell lengths 7.435, 7.435, 10.368 Å; angles 90.09, 110.88, 120.04 degrees
Atoms (fractional coordinates):
Ho: 0.333 0.249 0.749
Ho: 0.667 0.751 0.251
Ho: 0.000 0.584 0.751
Ho: 0.000 0.416 0.249
Ga: 0.454 0.917 0.749
Ga: 0.546 0.083 0.251
Ga: 0.668 0.705 0.751
Ga: 0.332 0.295 0.249
Ga: 0.451 0.642 0.930
Ga: 0.549 0.358 0.070
Ga: 0.212 0.521 0.570
Ga: 0.788 0.479 0.430
Ga: 0.880 0.130 0.750
Ga: 0.120 0.870 0.250
Ga: 0.129 0.981 0.940
Ga: 0.871 0.019 0.060
Ga: 0.541 0.189 0.560
Ga: 0.459 0.811 0.440
Ga: 0.882 0.857 0.571
Ga: 0.118 0.143 0.429
Ga: 0.785 0.311 0.929
Ga: 0.215 0.689 0.071
Ni: 0.500 0.000 0.000
Ni: 0.500 0.500 0.500
Ni: 0.837 0.169 0.499
Ni: 0.163 0.831 0.501
Ni: 0.169 0.338 0.001
Ni: 0.831 0.662 0.999

> Number 3 is which compound?

NiGe2Au2

Please write out number 2 again, unchanged.
Entry from Alexandria: a geometry-optimized AlSnC3 structure (PBE).

**Energy of formation**: 2.127 eV per atom
**Magnetic moment**: 0.000 μB/atom

Cell lengths 4.006, 4.006, 4.006 Å; angles 90.00, 90.00, 90.00 degrees
Atoms (fractional coordinates):
C: 0.000 0.500 0.000
C: 0.000 0.000 0.500
C: 0.500 0.000 0.000
Sn: 0.500 0.500 0.500
Al: 0.000 0.000 0.000

> Which value of magnetic moment does entry 1 give?

0.000 μB/atom